(A)
Below is a relaxed NaTmBr4 crystal, with properties calculated at the PBE level.

The symmetry is C2/c.

Unit cell a=9.777 b=9.777 c=7.053 alpha=104.74 beta=104.74 gamma=127.44
Fractional coordinates of all 12 atoms:
Na1 0.090 0.910 0.750
Na2 0.910 0.090 0.250
Tm1 0.423 0.577 0.250
Tm2 0.577 0.423 0.750
Br1 0.093 0.449 0.243
Br2 0.229 0.317 0.771
Br3 0.317 0.229 0.271
Br4 0.449 0.093 0.743
Br5 0.551 0.907 0.257
Br6 0.683 0.771 0.729
Br7 0.771 0.683 0.229
Br8 0.907 0.551 0.757


(B)
Below is a relaxed NaTmBr4 crystal, with properties calculated at the PBE level.

The symmetry is P2/m.

Unit cell a=7.053 b=4.127 c=7.526 alpha=90.00 beta=91.53 gamma=90.00
Fractional coordinates of all 6 atoms:
Na1 0.000 0.000 0.000
Tm1 0.000 0.500 0.500
Br1 0.213 0.500 0.202
Br2 0.227 0.000 0.648
Br3 0.773 0.000 0.352
Br4 0.787 0.500 0.798


Least stable of them? (A).